# 1
The following is a PBE calculation of Ac3PmY12 after structural relaxation, from the Alexandria database.

Geometry as extended XYZ:
```
16
Lattice="5.165 0.000 0.000 0.000 5.165 0.000 0.000 0.000 20.699" Properties=species:S:1:pos:R:3 pbc="T T T"
Ac 0.000 0.000 0.000
Ac 0.000 0.000 5.217
Ac 0.000 0.000 15.483
Pm 0.000 0.000 10.350
Y 0.000 2.583 2.618
Y 0.000 2.583 7.864
Y 0.000 2.583 12.835
Y 0.000 2.583 18.081
Y 2.583 0.000 2.618
Y 2.583 0.000 7.864
Y 2.583 0.000 12.835
Y 2.583 0.000 18.081
Y 2.583 2.583 0.000
Y 2.583 2.583 5.238
Y 2.583 2.583 10.350
Y 2.583 2.583 15.461
```

Properties
Space group: P4/mmm (123)
Electronic total energy, eV per atom: -5.87

***

# 2
The following is a PBE calculation of SrMg3Hg4 after structural relaxation, from the Alexandria database.

Geometry as extended XYZ:
```
8
Lattice="5.041 0.000 0.000 0.000 5.041 0.000 0.000 0.000 7.619" Properties=species:S:1:pos:R:3 pbc="T T T"
Sr 0.000 0.000 0.000
Mg 0.000 0.000 3.810
Mg 2.521 2.521 0.000
Mg 2.521 2.521 3.810
Hg 0.000 2.521 2.087
Hg 0.000 2.521 5.532
Hg 2.521 0.000 2.087
Hg 2.521 0.000 5.532
```

Properties
Space group: P4/mmm (123)
Electronic total energy, eV per atom: -1.25

***

# 3
The following is a PBE calculation of CrIrPt2 after structural relaxation, from the Alexandria database.

Geometry as extended XYZ:
```
16
Lattice="6.188 0.000 0.000 0.000 6.188 0.000 0.000 0.000 6.188" Properties=species:S:1:pos:R:3 pbc="T T T"
Cr 0.000 0.000 0.000
Cr 0.000 3.094 3.094
Cr 3.094 0.000 3.094
Cr 3.094 3.094 0.000
Ir 0.000 0.000 3.094
Ir 0.000 3.094 0.000
Ir 3.094 0.000 0.000
Ir 3.094 3.094 3.094
Pt 1.547 1.547 1.547
Pt 1.547 1.547 4.641
Pt 1.547 4.641 1.547
Pt 1.547 4.641 4.641
Pt 4.641 1.547 1.547
Pt 4.641 1.547 4.641
Pt 4.641 4.641 1.547
Pt 4.641 4.641 4.641
```

Properties
Space group: Fm-3m (225)
Electronic total energy, eV per atom: -7.38

***

Number 1: formation enthalpy at 0 K 0.048 eV per atom. Number 2: formation enthalpy at 0 K -0.292 eV per atom. Number 3: formation enthalpy at 0 K 0.265 eV per atom.